[1]
TaHRu3 after structural relaxation, computed with PBE.

The calculation puts the energy above the most stable polymorph in this dataset at 230 meV per atom. The value obtained for the density is 12.839 g/cm³. The calculation puts the density of states at the Fermi level at 5.8 states/eV/f.u. The value obtained for the final energy is -8.596 eV/atom.

The space group is R-3c (No. 167, hexagonal axes) and the conventional cell measures 7.3186, 7.3186 and 8.1168 Å, with angles of 90.00, 90.00 and 120.00 degrees. The asymmetric unit holds Ta at (0.0000, 0.0000, 0.0000), H at (0.0000, 0.0000, 0.2500) and Ru at (0.0000, 0.2879, 0.2500).

[2]
TaHRu3 after structural relaxation, computed with PBE.

The calculation puts the energy above the most stable polymorph in this dataset at 137 meV per atom. The value obtained for the density is 12.989 g/cm³. The calculation puts the density of states at the Fermi level at 4.6 states/eV/f.u. The value obtained for the final energy is -8.688 eV/atom.

The space group is C2/c (No. 15) and the conventional cell measures 9.016, 11.277 and 4.881 Å, with angles of 90.00, 90.79 and 90.00 degrees. The asymmetric unit holds Ta at (0.137, 0.072, 0.066), H at (0.000, 0.310, 0.750), H at (0.000, 0.442, 0.250), Ru at (0.125, 0.310, 0.092), Ru at (0.128, 0.436, 0.582) and Ru at (0.129, 0.188, 0.580).

[3]
TaHRu3 after structural relaxation, computed with PBE.

The calculation puts the energy above the most stable polymorph in this dataset at 172 meV per atom. The value obtained for the density is 12.894 g/cm³. The calculation puts the density of states at the Fermi level at 3.7 states/eV/f.u. The value obtained for the final energy is -8.654 eV/atom.

The space group is P2_1/c (No. 14) and the conventional cell measures 7.037, 4.783 and 9.685 Å, with angles of 90.00, 129.93 and 90.00 degrees. The asymmetric unit holds Ta at (0.214, 0.190, 0.049), H at (0.267, 0.536, 0.387), Ru at (0.056, 0.640, 0.841), Ru at (0.276, 0.715, 0.207) and Ru at (0.451, 0.220, 0.406).

[4]
TaHRu3 after structural relaxation, computed with PBE.

The calculation puts the energy above the most stable polymorph in this dataset at 374 meV per atom. The value obtained for the density is 12.426 g/cm³. The calculation puts the density of states at the Fermi level at 4.0 states/eV/f.u. The value obtained for the final energy is -8.452 eV/atom.

The space group is P6_3/mmc (No. 194) and the conventional cell measures 2.9711, 2.9711 and 16.9621 Å, with angles of 90.00, 90.00 and 120.00 degrees. The asymmetric unit holds Ta at (0.0000, 0.0000, 0.0000), H at (0.3333, 0.6667, 0.2500), Ru at (0.0000, 0.0000, 0.2500) and Ru at (0.3333, 0.6667, 0.1205).

[5]
TaHRu3 after structural relaxation, computed with PBE.

The calculation puts the energy above the most stable polymorph in this dataset at 32 meV per atom. The value obtained for the density is 13.094 g/cm³. The calculation puts the density of states at the Fermi level at 3.1 states/eV/f.u. The value obtained for the final energy is -8.794 eV/atom.

The space group is P1 (No. 1) and the conventional cell measures 5.282, 5.337 and 5.560 Å, with angles of 105.19, 105.36 and 115.47 degrees. The asymmetric unit holds Ta at (0.000, 0.000, 0.000), Ta at (0.487, 0.952, 0.372), H at (0.008, 0.709, 0.667), H at (0.252, 0.475, 0.177), Ru at (0.036, 0.009, 0.500), Ru at (0.455, 0.941, 0.861), Ru at (0.529, 0.503, 0.505), Ru at (0.536, 0.506, 0.008), Ru at (0.946, 0.430, 0.340) and Ru at (0.951, 0.437, 0.852).

[6]
TaHRu3 after structural relaxation, computed with PBE.

The calculation puts the energy above the most stable polymorph in this dataset at 33 meV per atom. The value obtained for the density is 13.111 g/cm³. The calculation puts the density of states at the Fermi level at 2.8 states/eV/f.u. The value obtained for the final energy is -8.793 eV/atom.

The space group is C2/m (No. 12) and the conventional cell measures 9.001, 5.672 and 4.814 Å, with angles of 90.00, 90.35 and 90.00 degrees. The asymmetric unit holds Ta at (0.140, 0.000, 0.313), H at (0.000, 0.260, 0.500), Ru at (0.124, 0.252, 0.828) and Ru at (0.129, 0.500, 0.324).

[7]
TaH2Ru after structural relaxation, computed with PBE.

The calculation puts the energy above the most stable polymorph in this dataset at 251 meV per atom. The value obtained for the density is 12.113 g/cm³. The calculation puts the density of states at the Fermi level at 0.8 states/eV/f.u. The value obtained for the final energy is -6.847 eV/atom.

The space group is R3m (No. 160, hexagonal axes) and the conventional cell measures 2.9206, 2.9206 and 15.8128 Å, with angles of 90.00, 90.00 and 120.00 degrees. The asymmetric unit holds Ta at (0.0000, 0.0000, 0.0000), H at (0.0000, 0.0000, 0.4035), H at (0.0000, 0.0000, 0.5813) and Ru at (0.0000, 0.0000, 0.1940).

[8]
TaHRu3 after structural relaxation, computed with PBE.

The calculation puts the energy above the most stable polymorph in this dataset at 440 meV per atom. The value obtained for the density is 12.343 g/cm³. The calculation puts the density of states at the Fermi level at 4.5 states/eV/f.u. The value obtained for the final energy is -8.385 eV/atom.

The space group is Cmcm (No. 63) and the conventional cell measures 5.529, 8.802 and 5.364 Å, with angles of 90.00, 90.00 and 90.00 degrees. The asymmetric unit holds Ta at (0.000, 0.043, 0.250), H at (0.000, 0.369, 0.250), Ru at (0.000, 0.500, 0.000) and Ru at (0.220, 0.225, 0.750).

The lowest final energy belongs to which entry?
number 5